(1)
GGA-PBE K4SrAs, relaxed; total moment = 0.0 μB per formula unit; energy relative to the elements = 164 kJ/mol of formula units; calculated volume = 287.9 Å³ per cell
1.0
0.0000 5.2406 5.2406
5.2406 0.0000 5.2406
5.2406 5.2406 0.0000
K As Sr
4 1 1
Cartesian
3.9049 6.5763 6.5763
6.5763 3.9049 6.5763
3.9049 3.9049 3.9049
6.5763 6.5763 3.9049
0.0000 0.0000 0.0000
7.8609 7.8609 7.8609

***

(2)
GGA-PBE KSr2As2, relaxed; total moment = 0.0 μB per formula unit; offset from the most stable computed form = 0 meV/atom; energy relative to the elements = -396 kJ/mol of formula units; calculated volume = 314.0 Å³ per cell
1.0
-4.0092 -8.2066 -0.5853
2.4933 -1.8324 8.6134
-3.2109 1.4799 1.2443
Sr As K
4 4 2
Cartesian
-4.1622 -7.0197 3.2534
-1.9997 -6.0613 7.6938
-2.7271 -2.4978 1.5785
-0.5646 -1.5394 6.0189
-1.7031 -8.0842 5.2201
0.7357 -4.3000 7.0127
0.1872 -1.9547 2.8080
-2.2516 -5.7389 1.0154
0.0000 0.0000 0.0000
-0.7579 -5.0195 4.0140

***

(3)
GGA-PBE K2SrAs, relaxed; total moment = 0.2 μB per formula unit; energy relative to the elements = 40 kJ/mol of formula units; calculated volume = 199.8 Å³ per cell
1.0
-7.7344 -10.2689 -0.3563
-3.9733 -12.1884 -1.0261
-5.2665 -11.3528 2.9624
K Sr As
2 1 1
Cartesian
-0.4532 -0.9028 0.0422
-8.0339 -16.0023 0.7478
-4.2436 -8.4525 0.3950
-12.7307 -25.3576 1.1850